KBaNb: relaxed, GGA-PBE.

Summary:
Magnetic moment in μB per formula unit: 1.4
SG: No. 62

```
KBaNb
1.0
14.2889 0.0000 0.0000
0.0000 6.3230 0.0000
0.0000 0.0000 5.6713
K Nb Ba
4 4 4
Direct
0.2308 0.2500 0.4968
0.7308 0.2500 0.0032
0.7692 0.7500 0.5032
0.2692 0.7500 0.9968
0.4833 0.2500 0.0000
0.5167 0.7500 0.0000
0.0167 0.7500 0.5000
0.9833 0.2500 0.5000
0.5000 0.5000 0.5000
0.0000 0.0000 0.0000
0.5000 0.0000 0.5000
0.0000 0.5000 0.0000
```

---

InAs3Pb: relaxed, GGA-PBE.

Summary:
Magnetic moment in μB per formula unit: 0.0
SG: No. 221

```
InAs3Pb
1.0
5.2474 0.0000 0.0000
0.0000 5.2474 0.0000
0.0000 0.0000 5.2474
In As Pb
1 3 1
Direct
0.0000 0.0000 0.0000
0.5000 0.0000 0.0000
0.0000 0.5000 0.0000
0.0000 0.0000 0.5000
0.5000 0.5000 0.5000
```

---

no.,energy relative to the elements (kJ/mol of formula units),polymorph energy (0 for the lowest one) (meV/atom)
1,363,851.1
2,320,0.0